1.
Computed, not measured: Tb2GaCu2Rh5 after structural relaxation at the PBE-GGA level of DFT.

Structure (CIF):
```
data_Tb2GaCu2Rh5
_cell_length_a 9.335
_cell_length_b 9.335
_cell_length_c 3.763
_cell_angle_alpha 90.00
_cell_angle_beta 90.00
_cell_angle_gamma 90.00
_symmetry_space_group_name_H-M 'P 4/m b m'
_symmetry_Int_Tables_number 127
_symmetry_space_group_name_Hall '-P 4 2ab'
loop_
_atom_site_label
_atom_site_type_symbol
_atom_site_fract_x
_atom_site_fract_y
_atom_site_fract_z
_atom_site_occupancy
Tb1 Tb 0.174 0.326 0.000 1
Ga1 Ga 0.000 0.000 0.000 1
Cu1 Cu 0.124 0.624 0.000 1
Rh1 Rh 0.000 0.500 0.500 1
Rh2 Rh 0.067 0.799 0.500 1
```

Calculated values
The value obtained for the formation energy is -0.51 eV/atom.

---

2.
Computed, not measured: ThGa2Cu2Rh after structural relaxation at the PBE-GGA level of DFT.

Structure (CIF):
```
data_ThGa2Cu2Rh
_cell_length_a 4.781
_cell_length_b 4.781
_cell_length_c 5.235
_cell_angle_alpha 90.00
_cell_angle_beta 90.00
_cell_angle_gamma 90.00
_symmetry_space_group_name_H-M 'P 4/m m m'
_symmetry_Int_Tables_number 123
_symmetry_space_group_name_Hall '-P 4 2'
loop_
_atom_site_label
_atom_site_type_symbol
_atom_site_fract_x
_atom_site_fract_y
_atom_site_fract_z
_atom_site_occupancy
Th1 Th 0.000 0.000 0.000 1
Ga1 Ga 0.000 0.500 0.500 1
Cu1 Cu 0.500 0.500 0.235 1
Rh1 Rh 0.000 0.000 0.500 1
```

Calculated values
The value obtained for the formation energy is -0.18 eV/atom.

---

3.
Computed, not measured: Th2GaCu2Rh5 after structural relaxation at the PBE-GGA level of DFT.

Structure (CIF):
```
data_Th2GaCu2Rh5
_cell_length_a 9.466
_cell_length_b 9.466
_cell_length_c 3.803
_cell_angle_alpha 90.00
_cell_angle_beta 90.00
_cell_angle_gamma 90.00
_symmetry_space_group_name_H-M 'P 4/m b m'
_symmetry_Int_Tables_number 127
_symmetry_space_group_name_Hall '-P 4 2ab'
loop_
_atom_site_label
_atom_site_type_symbol
_atom_site_fract_x
_atom_site_fract_y
_atom_site_fract_z
_atom_site_occupancy
Th1 Th 0.175 0.325 0.000 1
Ga1 Ga 0.000 0.000 0.000 1
Cu1 Cu 0.123 0.623 0.000 1
Rh1 Rh 0.000 0.500 0.500 1
Rh2 Rh 0.071 0.799 0.500 1
```

Calculated values
The value obtained for the formation energy is -0.61 eV/atom.

---

4.
Computed, not measured: TiGaCuRh after structural relaxation at the PBE-GGA level of DFT.

Structure (CIF):
```
data_TiGaCuRh
_cell_length_a 6.104
_cell_length_b 6.104
_cell_length_c 6.104
_cell_angle_alpha 90.00
_cell_angle_beta 90.00
_cell_angle_gamma 90.00
_symmetry_space_group_name_H-M 'F -4 3 m'
_symmetry_Int_Tables_number 216
_symmetry_space_group_name_Hall 'F -4 2 3'
loop_
_atom_site_label
_atom_site_type_symbol
_atom_site_fract_x
_atom_site_fract_y
_atom_site_fract_z
_atom_site_occupancy
Ti1 Ti 0.000 0.000 0.000 1
Ga1 Ga 0.000 0.000 0.500 1
Cu1 Cu 0.250 0.250 0.250 1
Rh1 Rh 0.250 0.250 0.750 1
```

Calculated values
The value obtained for the formation energy is -0.51 eV/atom.

---

5.
Computed, not measured: Tl2GaCuRh after structural relaxation at the PBE-GGA level of DFT.

Structure (CIF):
```
data_Tl2GaCuRh
_cell_length_a 5.279
_cell_length_b 5.279
_cell_length_c 4.451
_cell_angle_alpha 90.00
_cell_angle_beta 90.00
_cell_angle_gamma 90.00
_symmetry_space_group_name_H-M 'P 4/m m m'
_symmetry_Int_Tables_number 123
_symmetry_space_group_name_Hall '-P 4 2'
loop_
_atom_site_label
_atom_site_type_symbol
_atom_site_fract_x
_atom_site_fract_y
_atom_site_fract_z
_atom_site_occupancy
Tl1 Tl 0.000 0.500 0.000 1
Ga1 Ga 0.000 0.000 0.000 1
Cu1 Cu 0.000 0.000 0.500 1
Rh1 Rh 0.500 0.500 0.500 1
```

Calculated values
The value obtained for the formation energy is 0.88 eV/atom.

---

6.
Computed, not measured: TmGa4CuRh2 after structural relaxation at the PBE-GGA level of DFT.

Structure (CIF):
```
data_TmGa4CuRh2
_cell_length_a 4.2488
_cell_length_b 4.2488
_cell_length_c 25.1220
_cell_angle_alpha 90.00
_cell_angle_beta 90.00
_cell_angle_gamma 120.00
_symmetry_space_group_name_H-M 'R -3 m'
_symmetry_Int_Tables_number 166
_symmetry_space_group_name_Hall '-R 3 2"'
loop_
_atom_site_label
_atom_site_type_symbol
_atom_site_fract_x
_atom_site_fract_y
_atom_site_fract_z
_atom_site_occupancy
Tm1 Tm 0.0000 0.0000 0.0000 1
Ga1 Ga 0.0000 0.0000 0.1311 1
Ga2 Ga 0.0000 0.0000 0.3974 1
Cu1 Cu 0.0000 0.0000 0.5000 1
Rh1 Rh 0.0000 0.0000 0.2365 1
```

Calculated values
The value obtained for the formation energy is -0.51 eV/atom.

---

7.
Computed, not measured: Tm2GaCu2Rh5 after structural relaxation at the PBE-GGA level of DFT.

Structure (CIF):
```
data_Tm2GaCu2Rh5
_cell_length_a 9.268
_cell_length_b 9.268
_cell_length_c 3.742
_cell_angle_alpha 90.00
_cell_angle_beta 90.00
_cell_angle_gamma 90.00
_symmetry_space_group_name_H-M 'P 4/m b m'
_symmetry_Int_Tables_number 127
_symmetry_space_group_name_Hall '-P 4 2ab'
loop_
_atom_site_label
_atom_site_type_symbol
_atom_site_fract_x
_atom_site_fract_y
_atom_site_fract_z
_atom_site_occupancy
Tm1 Tm 0.173 0.327 0.000 1
Ga1 Ga 0.000 0.000 0.000 1
Cu1 Cu 0.125 0.625 0.000 1
Rh1 Rh 0.000 0.500 0.500 1
Rh2 Rh 0.069 0.800 0.500 1
```

Calculated values
The value obtained for the formation energy is -0.53 eV/atom.

---

8.
Computed, not measured: TmGa3CuRh after structural relaxation at the PBE-GGA level of DFT.

Structure (CIF):
```
data_TmGa3CuRh
_cell_length_a 5.974
_cell_length_b 12.345
_cell_length_c 5.716
_cell_angle_alpha 90.00
_cell_angle_beta 90.00
_cell_angle_gamma 90.00
_symmetry_space_group_name_H-M 'C m c m'
_symmetry_Int_Tables_number 63
_symmetry_space_group_name_Hall '-C 2c 2'
loop_
_atom_site_label
_atom_site_type_symbol
_atom_site_fract_x
_atom_site_fract_y
_atom_site_fract_z
_atom_site_occupancy
Tm1 Tm 0.000 0.212 0.250 1
Ga1 Ga 0.000 0.351 0.750 1
Ga2 Ga 0.210 0.000 0.000 1
Cu1 Cu 0.000 0.428 0.250 1
Rh1 Rh 0.000 0.147 0.750 1
```

Calculated values
The value obtained for the formation energy is -0.35 eV/atom.

---

9.
Computed, not measured: Tm2Ga4CuRh3 after structural relaxation at the PBE-GGA level of DFT.

Structure (CIF):
```
data_Tm2Ga4CuRh3
_cell_length_a 3.915
_cell_length_b 3.915
_cell_length_c 11.470
_cell_angle_alpha 90.00
_cell_angle_beta 90.00
_cell_angle_gamma 90.00
_symmetry_space_group_name_H-M 'P -4 m 2'
_symmetry_Int_Tables_number 115
_symmetry_space_group_name_Hall 'P -4 -2'
loop_
_atom_site_label
_atom_site_type_symbol
_atom_site_fract_x
_atom_site_fract_y
_atom_site_fract_z
_atom_site_occupancy
Tm1 Tm 0.000 0.500 0.238 1
Ga1 Ga 0.000 0.000 0.000 1
Ga2 Ga 0.000 0.500 0.634 1
Ga3 Ga 0.500 0.500 0.000 1
Cu1 Cu 0.000 0.000 0.500 1
Rh1 Rh 0.000 0.500 0.853 1
Rh2 Rh 0.500 0.500 0.500 1
```

Calculated values
The value obtained for the formation energy is -0.68 eV/atom.

---

10.
Computed, not measured: Tm2Ga4Cu3Rh after structural relaxation at the PBE-GGA level of DFT.

Structure (CIF):
```
data_Tm2Ga4Cu3Rh
_cell_length_a 3.992
_cell_length_b 3.992
_cell_length_c 10.673
_cell_angle_alpha 90.00
_cell_angle_beta 90.00
_cell_angle_gamma 90.00
_symmetry_space_group_name_H-M 'P -4 m 2'
_symmetry_Int_Tables_number 115
_symmetry_space_group_name_Hall 'P -4 -2'
loop_
_atom_site_label
_atom_site_type_symbol
_atom_site_fract_x
_atom_site_fract_y
_atom_site_fract_z
_atom_site_occupancy
Tm1 Tm 0.000 0.500 0.246 1
Ga1 Ga 0.000 0.000 0.000 1
Ga2 Ga 0.000 0.500 0.638 1
Ga3 Ga 0.500 0.500 0.000 1
Cu1 Cu 0.000 0.500 0.861 1
Cu2 Cu 0.500 0.500 0.500 1
Rh1 Rh 0.000 0.000 0.500 1
```

Calculated values
The value obtained for the formation energy is -0.50 eV/atom.

---

11.
Computed, not measured: Tm4GaCu2Rh after structural relaxation at the PBE-GGA level of DFT.

Structure (CIF):
```
data_Tm4GaCu2Rh
_cell_length_a 4.8627
_cell_length_b 4.8627
_cell_length_c 23.8361
_cell_angle_alpha 90.00
_cell_angle_beta 90.00
_cell_angle_gamma 120.00
_symmetry_space_group_name_H-M 'R -3 m'
_symmetry_Int_Tables_number 166
_symmetry_space_group_name_Hall '-R 3 2"'
loop_
_atom_site_label
_atom_site_type_symbol
_atom_site_fract_x
_atom_site_fract_y
_atom_site_fract_z
_atom_site_occupancy
Tm1 Tm 0.0000 0.0000 0.1207 1
Tm2 Tm 0.0000 0.0000 0.3717 1
Ga1 Ga 0.0000 0.0000 0.5000 1
Cu1 Cu 0.0000 0.0000 0.2454 1
Rh1 Rh 0.0000 0.0000 0.0000 1
```

Calculated values
The value obtained for the formation energy is -0.56 eV/atom.

---

12.
Computed, not measured: VGaCuRh after structural relaxation at the PBE-GGA level of DFT.

Structure (CIF):
```
data_VGaCuRh
_cell_length_a 6.012
_cell_length_b 6.012
_cell_length_c 6.012
_cell_angle_alpha 90.00
_cell_angle_beta 90.00
_cell_angle_gamma 90.00
_symmetry_space_group_name_H-M 'F -4 3 m'
_symmetry_Int_Tables_number 216
_symmetry_space_group_name_Hall 'F -4 2 3'
loop_
_atom_site_label
_atom_site_type_symbol
_atom_site_fract_x
_atom_site_fract_y
_atom_site_fract_z
_atom_site_occupancy
V1 V 0.000 0.000 0.000 1
Ga1 Ga 0.000 0.000 0.500 1
Cu1 Cu 0.250 0.250 0.750 1
Rh1 Rh 0.250 0.250 0.250 1
```

Calculated values
The value obtained for the formation energy is -0.28 eV/atom.

---

13.
Computed, not measured: Y2Ga2CuRh5 after structural relaxation at the PBE-GGA level of DFT.

Structure (CIF):
```
data_Y2Ga2CuRh5
_cell_length_a 9.767
_cell_length_b 9.767
_cell_length_c 3.520
_cell_angle_alpha 90.00
_cell_angle_beta 90.00
_cell_angle_gamma 90.00
_symmetry_space_group_name_H-M 'P 4/m b m'
_symmetry_Int_Tables_number 127
_symmetry_space_group_name_Hall '-P 4 2ab'
loop_
_atom_site_label
_atom_site_type_symbol
_atom_site_fract_x
_atom_site_fract_y
_atom_site_fract_z
_atom_site_occupancy
Y1 Y 0.174 0.326 0.000 1
Ga1 Ga 0.126 0.626 0.000 1
Cu1 Cu 0.000 0.000 0.000 1
Rh1 Rh 0.000 0.500 0.500 1
Rh2 Rh 0.066 0.800 0.500 1
```

Calculated values
The value obtained for the formation energy is -0.62 eV/atom.

---

14.
Computed, not measured: Y2Ga4CuRh3 after structural relaxation at the PBE-GGA level of DFT.

Structure (CIF):
```
data_Y2Ga4CuRh3
_cell_length_a 4.149
_cell_length_b 4.149
_cell_length_c 10.487
_cell_angle_alpha 90.00
_cell_angle_beta 90.00
_cell_angle_gamma 90.00
_symmetry_space_group_name_H-M 'P -4 m 2'
_symmetry_Int_Tables_number 115
_symmetry_space_group_name_Hall 'P -4 -2'
loop_
_atom_site_label
_atom_site_type_symbol
_atom_site_fract_x
_atom_site_fract_y
_atom_site_fract_z
_atom_site_occupancy
Y1 Y 0.000 0.500 0.247 1
Ga1 Ga 0.000 0.000 0.500 1
Ga2 Ga 0.000 0.500 0.871 1
Ga3 Ga 0.500 0.500 0.500 1
Cu1 Cu 0.500 0.500 0.000 1
Rh1 Rh 0.000 0.000 0.000 1
Rh2 Rh 0.000 0.500 0.636 1
```

Calculated values
The value obtained for the formation energy is -0.68 eV/atom.

---

15.
Computed, not measured: YGa4CuRh2 after structural relaxation at the PBE-GGA level of DFT.

Structure (CIF):
```
data_YGa4CuRh2
_cell_length_a 4.2569
_cell_length_b 4.2569
_cell_length_c 25.5070
_cell_angle_alpha 90.00
_cell_angle_beta 90.00
_cell_angle_gamma 120.00
_symmetry_space_group_name_H-M 'R -3 m'
_symmetry_Int_Tables_number 166
_symmetry_space_group_name_Hall '-R 3 2"'
loop_
_atom_site_label
_atom_site_type_symbol
_atom_site_fract_x
_atom_site_fract_y
_atom_site_fract_z
_atom_site_occupancy
Y1 Y 0.0000 0.0000 0.0000 1
Ga1 Ga 0.0000 0.0000 0.1306 1
Ga2 Ga 0.0000 0.0000 0.3990 1
Cu1 Cu 0.0000 0.0000 0.5000 1
Rh1 Rh 0.0000 0.0000 0.2333 1
```

Calculated values
The value obtained for the formation energy is -0.53 eV/atom.

---

16.
Computed, not measured: YGa4Cu2Rh after structural relaxation at the PBE-GGA level of DFT.

Structure (CIF):
```
data_YGa4Cu2Rh
_cell_length_a 4.1671
_cell_length_b 4.1671
_cell_length_c 26.6272
_cell_angle_alpha 90.00
_cell_angle_beta 90.00
_cell_angle_gamma 120.00
_symmetry_space_group_name_H-M 'R -3 m'
_symmetry_Int_Tables_number 166
_symmetry_space_group_name_Hall '-R 3 2"'
loop_
_atom_site_label
_atom_site_type_symbol
_atom_site_fract_x
_atom_site_fract_y
_atom_site_fract_z
_atom_site_occupancy
Y1 Y 0.0000 0.0000 0.0000 1
Ga1 Ga 0.0000 0.0000 0.1282 1
Ga2 Ga 0.0000 0.0000 0.4007 1
Cu1 Cu 0.0000 0.0000 0.2381 1
Rh1 Rh 0.0000 0.0000 0.5000 1
```

Calculated values
The value obtained for the formation energy is -0.40 eV/atom.

---

17.
Computed, not measured: ZrGaCu2Rh after structural relaxation at the PBE-GGA level of DFT.

Structure (CIF):
```
data_ZrGaCu2Rh
_cell_length_a 4.714
_cell_length_b 4.714
_cell_length_c 4.791
_cell_angle_alpha 90.00
_cell_angle_beta 90.00
_cell_angle_gamma 90.00
_symmetry_space_group_name_H-M 'P 4/m m m'
_symmetry_Int_Tables_number 123
_symmetry_space_group_name_Hall '-P 4 2'
loop_
_atom_site_label
_atom_site_type_symbol
_atom_site_fract_x
_atom_site_fract_y
_atom_site_fract_z
_atom_site_occupancy
Zr1 Zr 0.000 0.000 0.000 1
Ga1 Ga 0.500 0.500 0.000 1
Cu1 Cu 0.000 0.500 0.500 1
Rh1 Rh 0.000 0.000 0.500 1
```

Calculated values
The value obtained for the formation energy is 0.52 eV/atom.

---

18.
Computed, not measured: GaCuRu after structural relaxation at the PBE-GGA level of DFT.

Structure (CIF):
```
data_GaCuRu
_cell_length_a 3.061
_cell_length_b 3.061
_cell_length_c 8.666
_cell_angle_alpha 90.00
_cell_angle_beta 90.00
_cell_angle_gamma 90.00
_symmetry_space_group_name_H-M 'I 4 m m'
_symmetry_Int_Tables_number 107
_symmetry_space_group_name_Hall 'I 4 -2'
loop_
_atom_site_label
_atom_site_type_symbol
_atom_site_fract_x
_atom_site_fract_y
_atom_site_fract_z
_atom_site_occupancy
Ga1 Ga 0.000 0.000 0.000 1
Cu1 Cu 0.000 0.000 0.662 1
Ru1 Ru 0.000 0.000 0.339 1
```

Calculated values
The value obtained for the formation energy is 0.00 eV/atom. The energy above the most stable polymorph in this dataset is 0.048 eV/atom.

---

19.
Computed, not measured: Ga2Cu2Ru after structural relaxation at the PBE-GGA level of DFT.

Structure (CIF):
```
data_Ga2Cu2Ru
_cell_length_a 6.958
_cell_length_b 6.958
_cell_length_c 2.858
_cell_angle_alpha 90.00
_cell_angle_beta 90.00
_cell_angle_gamma 90.00
_symmetry_space_group_name_H-M 'P 4/m b m'
_symmetry_Int_Tables_number 127
_symmetry_space_group_name_Hall '-P 4 2ab'
loop_
_atom_site_label
_atom_site_type_symbol
_atom_site_fract_x
_atom_site_fract_y
_atom_site_fract_z
_atom_site_occupancy
Ga1 Ga 0.157 0.343 0.000 1
Cu1 Cu 0.141 0.641 0.500 1
Ru1 Ru 0.000 0.000 0.000 1
```

Calculated values
The value obtained for the formation energy is 0.03 eV/atom. The energy above the most stable polymorph in this dataset is 0.022 eV/atom.

---

20.
Computed, not measured: GaCuRu after structural relaxation at the PBE-GGA level of DFT.

Structure (CIF):
```
data_GaCuRu
_cell_length_a 4.1760
_cell_length_b 4.1760
_cell_length_c 18.6490
_cell_angle_alpha 90.00
_cell_angle_beta 90.00
_cell_angle_gamma 120.00
_symmetry_space_group_name_H-M 'R -3 m'
_symmetry_Int_Tables_number 166
_symmetry_space_group_name_Hall '-R 3 2"'
loop_
_atom_site_label
_atom_site_type_symbol
_atom_site_fract_x
_atom_site_fract_y
_atom_site_fract_z
_atom_site_occupancy
Ga1 Ga 0.0000 0.0000 0.0000 1
Ga2 Ga 0.0000 0.0000 0.5000 1
Cu1 Cu 0.0000 0.0000 0.2276 1
Ru1 Ru 0.0000 0.0000 0.3715 1
```

Calculated values
The value obtained for the formation energy is 0.13 eV/atom. The energy above the most stable polymorph in this dataset is 0.175 eV/atom.